Record 1
DFT (PBE-GGA) results for a relaxed EuCoAs2 crystal.

Geometry as extended XYZ:
```
4
Lattice="3.927 0.000 0.000 1.963 3.401 0.000 1.963 1.134 5.710" Properties=species:S:1:pos:R:3 pbc="T T T"
Co 0.000 0.000 0.000
As 5.890 3.401 4.782
As 1.963 1.134 0.928
Eu 3.927 2.267 2.855
```

Record 2
DFT (PBE-GGA) results for a relaxed EuCo2As2 crystal.

Geometry as extended XYZ:
```
5
Lattice="6.091 -0.105 0.000 3.556 4.947 0.000 -4.824 -2.421 2.826" Properties=species:S:1:pos:R:3 pbc="T T T"
Co 3.046 -0.053 1.413
Co 1.778 2.473 1.413
As 3.485 1.749 0.000
As 6.162 3.092 0.000
Eu 0.000 0.000 0.000
```

Record 3
DFT (PBE-GGA) results for a relaxed EuCoAs crystal.

Geometry as extended XYZ:
```
3
Lattice="-1.856 -1.495 -3.520 -3.109 -1.404 2.236 -0.133 3.777 -1.534" Properties=species:S:1:pos:R:3 pbc="T T T"
As -0.309 -0.249 -0.586
Co -1.435 1.801 -0.864
Eu -3.354 -0.674 -1.367
```

| no. | electronic total energy (eV per atom) |
| --- | --- |
| 1 | -7.310 |
| 2 | -7.423 |
| 3 | -8.009 |